[1]
The following is a SCAN calculation of KLiHf2Nb at its PBEsol-relaxed geometry, from Alexandria via LeMat-Bulk.

Geometry as POSCAR:
```
KLiHf2Nb
1.0
4.8909 0.0000 0.0000
0.0000 4.8909 0.0000
0.0000 0.0000 4.7022
K Li Hf Nb
1 1 2 1
Cartesian
0.0000 0.0000 0.0000 K
2.4455 2.4455 2.3511 Li
0.0000 2.4455 2.3511 Hf
2.4455 0.0000 2.3511 Hf
2.4455 2.4455 0.0000 Nb
```

- ΔH_f (0 K) (eV/f.u.) = 7.46
- symmetry = P4/mmm, No. 123
- calculated density (g/cm³) = 7.32
- total magnetization (μB/f.u.) = 0.01

[2]
The following is a SCAN calculation of Re3As at its PBEsol-relaxed geometry, from Alexandria via LeMat-Bulk.

Geometry as POSCAR:
```
Re3As
1.0
1.4076 0.8127 8.5187
-1.4076 0.8127 8.5187
0.0000 -1.6254 8.5187
Re As
3 1
Cartesian
0.0000 0.0000 0.0000 Re
0.0000 0.0000 6.3645 Re
0.0000 0.0000 19.1915 Re
0.0000 0.0000 12.7780 As
```

- E above lowest polymorph (eV per atom) = 0.000
- ΔH_f (0 K) (eV/f.u.) = 0.78
- symmetry = R-3m, No. 166
- calculated density (g/cm³) = 17.99
- total magnetization (μB/f.u.) = 0.00

[3]
The following is a SCAN calculation of SbTe2PdCl at its PBEsol-relaxed geometry, from Alexandria via LeMat-Bulk.

Geometry as POSCAR:
```
SbTe2PdCl
1.0
5.1703 0.0000 0.0000
0.0000 5.1703 0.0000
0.0000 0.0000 5.2603
Sb Te Pd Cl
1 2 1 1
Cartesian
0.0000 0.0000 0.0000 Sb
0.0000 2.5852 2.6302 Te
2.5852 0.0000 2.6302 Te
0.0000 0.0000 2.6302 Pd
2.5852 2.5852 0.0000 Cl
```

- symmetry = P4/mmm, No. 123
- calculated density (g/cm³) = 6.13
- uncorrected formation energy (eV/atom) = 0.2700
- total magnetization (μB/f.u.) = 0.00

| no. | total DFT energy (no corrections) (eV for the cell shown) |
| --- | --- |
| 1 | -161.74 |
| 2 | -232.70 |
| 3 | -151.16 |